VASP calculation (meta-GGA SCAN) on Hg3CF at its PBEsol-relaxed geometry.

Unit cell a=4.537 b=4.537 c=4.537 alpha=90.00 beta=90.00 gamma=90.00
Space group Pm-3m (No. 221)
One atom of each set of equivalent atoms:
Hg 0.000 0.000 0.500 x3
C 0.000 0.000 0.000 x1
F 0.500 0.500 0.500 x1

- uncorrected formation energy (eV per atom) = 0.39
- E_tot (eV/atom) = -43.24